1.
Sm2PuIn | Alexandria via LeMat-Bulk | PBE | optimized geometry; crystal system = cubic; symmetry = Fm-3m (225); density of states at the Fermi level = 4.070 states/eV per atom; energy above the most stable polymorph in this dataset = 88 meV/atom
1.0
0.000 3.873 3.873
3.873 0.000 3.873
3.873 3.873 0.000
Sm Pu In
2 1 1
direct
0.250 0.250 0.250 Sm
0.750 0.750 0.750 Sm
0.000 0.000 0.000 Pu
0.500 0.500 0.500 In

=====

2.
VSb2As2 | Alexandria via LeMat-Bulk | PBE | optimized geometry; crystal system = tetragonal; ΔE_f (raw) = 20 kJ/mol of atoms; symmetry = P4/mbm (127); density of states at the Fermi level = 0.569 states/eV per atom; energy above the most stable polymorph in this dataset = 0 meV/atom
1.0
6.554 0.000 0.000
0.000 6.554 0.000
0.000 0.000 5.075
V Sb As
2 4 4
direct
0.000 0.000 0.000 V
0.500 0.500 0.000 V
0.176 0.324 0.500 Sb
0.324 0.824 0.500 Sb
0.676 0.176 0.500 Sb
0.824 0.676 0.500 Sb
0.144 0.644 0.000 As
0.356 0.144 0.000 As
0.644 0.856 0.000 As
0.856 0.356 0.000 As

=====

3.
CdBrF | Alexandria via LeMat-Bulk | PBE | optimized geometry; crystal system = monoclinic; ΔE_f (raw) = -142 kJ/mol of atoms; symmetry = P2_1/c (14); density of states at the Fermi level = 0.000 states/eV per atom; energy above the most stable polymorph in this dataset = 36 meV/atom
1.0
6.871 0.000 0.000
0.000 6.214 0.000
-3.907 0.000 6.248
Cd Br F
4 4 4
direct
0.209 0.151 0.244 Cd
0.209 0.349 0.744 Cd
0.791 0.651 0.256 Cd
0.791 0.849 0.756 Cd
0.333 0.543 0.130 Br
0.333 0.957 0.630 Br
0.667 0.043 0.370 Br
0.667 0.457 0.870 Br
0.080 0.101 0.889 F
0.080 0.399 0.389 F
0.920 0.601 0.611 F
0.920 0.899 0.111 F

=====

4.
YScTc2 | Alexandria via LeMat-Bulk | PBE | optimized geometry; crystal system = orthorhombic; symmetry = Pmmm (47); density of states at the Fermi level = 0.781 states/eV per atom; energy above the most stable polymorph in this dataset = 233 meV/atom
1.0
3.371 0.000 0.000
0.000 4.445 0.000
0.000 0.000 4.958
Y Sc Tc
1 1 2
direct
0.000 0.000 0.000 Y
0.500 0.000 0.500 Sc
0.000 0.500 0.500 Tc
0.500 0.500 0.000 Tc